Entry 1:
Density functional theory data (GGA-PBE) for MnRe2TeH after structural relaxation.

```
data_MnRe2TeH
_chemical_formula_sum 'Mn1 Re2 Te1 H1'
_symmetry_space_group_name_H-M 'P 1'
_symmetry_Int_Tables_number 1
_symmetry_space_group_name_Hall 'P 1'
_cell_length_a 4.990
_cell_length_b 3.197
_cell_length_c 4.990
_cell_angle_alpha 90.00
_cell_angle_beta 90.00
_cell_angle_gamma 90.00
loop_
_atom_site_label
_atom_site_type_symbol
_atom_site_fract_x
_atom_site_fract_y
_atom_site_fract_z
Re1 Re 0.000 0.000 0.500
Re2 Re 0.500 0.000 0.000
Te1 Te 0.000 0.000 0.000
Mn1 Mn 0.500 0.500 0.500
H1 H 0.000 0.500 0.000
```


Entry 2:
Density functional theory data (GGA-PBE) for Sr2AlGe4Au3 after structural relaxation.

```
data_Sr2AlGe4Au3
_chemical_formula_sum 'Sr2 Al1 Ge4 Au3'
_symmetry_space_group_name_H-M 'P 1'
_symmetry_Int_Tables_number 1
_symmetry_space_group_name_Hall 'P 1'
_cell_length_a 4.411
_cell_length_b 4.411
_cell_length_c 11.239
_cell_angle_alpha 90.00
_cell_angle_beta 90.00
_cell_angle_gamma 90.00
loop_
_atom_site_label
_atom_site_type_symbol
_atom_site_fract_x
_atom_site_fract_y
_atom_site_fract_z
Sr1 Sr 0.500 0.000 0.249
Sr2 Sr 0.000 0.500 0.751
Al1 Al 0.500 0.500 0.500
Ge1 Ge 0.500 0.500 0.000
Ge2 Ge 0.000 0.000 0.000
Ge3 Ge 0.500 0.000 0.635
Ge4 Ge 0.000 0.500 0.365
Au1 Au 0.000 0.000 0.500
Au2 Au 0.500 0.000 0.863
Au3 Au 0.000 0.500 0.137
```


Entry 3:
Density functional theory data (GGA-PBE) for Nd5Dy2YEr after structural relaxation.

```
data_Nd5Dy2YEr
_chemical_formula_sum 'Nd10 Dy4 Y2 Er2'
_symmetry_space_group_name_H-M 'P 1'
_symmetry_Int_Tables_number 1
_symmetry_space_group_name_Hall 'P 1'
_cell_length_a 5.659
_cell_length_b 10.576
_cell_length_c 10.756
_cell_angle_alpha 90.00
_cell_angle_beta 90.00
_cell_angle_gamma 105.52
loop_
_atom_site_label
_atom_site_type_symbol
_atom_site_fract_x
_atom_site_fract_y
_atom_site_fract_z
Nd1 Nd 0.386 0.772 0.021
Nd2 Nd 0.719 0.439 0.811
Nd3 Nd 0.483 0.965 0.744
Nd4 Nd 0.298 0.595 0.707
Nd5 Nd 0.984 0.967 0.517
Nd6 Nd 0.614 0.228 0.521
Nd7 Nd 0.281 0.561 0.311
Nd8 Nd 0.517 0.035 0.244
Nd9 Nd 0.702 0.405 0.207
Nd10 Nd 0.016 0.033 0.017
Dy1 Dy 0.885 0.770 0.811
Dy2 Dy 0.112 0.224 0.738
Dy3 Dy 0.115 0.230 0.311
Dy4 Dy 0.888 0.776 0.238
Y1 Y 0.801 0.601 0.511
Y2 Y 0.199 0.399 0.011
Er1 Er 0.592 0.184 0.963
Er2 Er 0.408 0.816 0.463
```


Entry 4:
Density functional theory data (GGA-PBE) for BaTlCr2 after structural relaxation.

Values from the calculation:
Polymorph energy (0 for the lowest one)   181 meV/atom

```
data_BaTlCr2
_chemical_formula_sum 'Ba1 Tl1 Cr2'
_symmetry_space_group_name_H-M 'P 1'
_symmetry_Int_Tables_number 1
_symmetry_space_group_name_Hall 'P 1'
_cell_length_a 4.884
_cell_length_b 4.884
_cell_length_c 6.462
_cell_angle_alpha 67.73
_cell_angle_beta 67.73
_cell_angle_gamma 60.03
loop_
_atom_site_label
_atom_site_type_symbol
_atom_site_fract_x
_atom_site_fract_y
_atom_site_fract_z
Ba1 Ba 0.250 0.250 0.250
Cr1 Cr 0.053 0.053 0.840
Cr2 Cr 0.447 0.447 0.660
Tl1 Tl 0.750 0.750 0.750
```


Entry 5:
Density functional theory data (GGA-PBE) for ZnNi2Pb after structural relaxation.

```
data_ZnNi2Pb
_chemical_formula_sum 'Zn1 Ni2 Pb1'
_symmetry_space_group_name_H-M 'P 1'
_symmetry_Int_Tables_number 1
_symmetry_space_group_name_Hall 'P 1'
_cell_length_a 5.001
_cell_length_b 5.001
_cell_length_c 5.001
_cell_angle_alpha 135.63
_cell_angle_beta 135.63
_cell_angle_gamma 64.55
loop_
_atom_site_label
_atom_site_type_symbol
_atom_site_fract_x
_atom_site_fract_y
_atom_site_fract_z
Ni1 Ni 0.000 0.000 0.000
Ni2 Ni 0.250 0.750 0.500
Pb1 Pb 0.500 0.500 0.000
Zn1 Zn 0.750 0.250 0.500
```


Entry 6:
Density functional theory data (GGA-PBE) for NaTl2Cd after structural relaxation.

Values from the calculation:
Polymorph energy (0 for the lowest one)   4 meV/atom

```
data_NaTl2Cd
_chemical_formula_sum 'Na1 Tl2 Cd1'
_symmetry_space_group_name_H-M 'P 1'
_symmetry_Int_Tables_number 1
_symmetry_space_group_name_Hall 'P 1'
_cell_length_a 5.360
_cell_length_b 5.360
_cell_length_c 5.360
_cell_angle_alpha 60.00
_cell_angle_beta 60.00
_cell_angle_gamma 60.00
loop_
_atom_site_label
_atom_site_type_symbol
_atom_site_fract_x
_atom_site_fract_y
_atom_site_fract_z
Na1 Na 0.000 0.000 0.000
Tl1 Tl 0.250 0.250 0.250
Tl2 Tl 0.750 0.750 0.750
Cd1 Cd 0.500 0.500 0.500
```


Entry 7:
Density functional theory data (GGA-PBE) for P3WS after structural relaxation.

Values from the calculation:
Energy relative to the elements, uncorrected   0.7106 eV per atom
Polymorph energy (0 for the lowest one)   0 meV/atom

```
data_P3WS
_chemical_formula_sum 'P3 W1 S1'
_symmetry_space_group_name_H-M 'P 1'
_symmetry_Int_Tables_number 1
_symmetry_space_group_name_Hall 'P 1'
_cell_length_a 4.673
_cell_length_b 4.673
_cell_length_c 4.673
_cell_angle_alpha 90.00
_cell_angle_beta 90.00
_cell_angle_gamma 90.00
loop_
_atom_site_label
_atom_site_type_symbol
_atom_site_fract_x
_atom_site_fract_y
_atom_site_fract_z
P1 P 0.000 0.500 0.000
P2 P 0.000 0.000 0.500
P3 P 0.500 0.000 0.000
S1 S 0.500 0.500 0.500
W1 W 0.000 0.000 0.000
```


Entry 8:
Density functional theory data (GGA-PBE) for HRu2RhW after structural relaxation.

Values from the calculation:
Polymorph energy (0 for the lowest one)   0 meV/atom

```
data_HRu2RhW
_chemical_formula_sum 'H1 Ru2 Rh1 W1'
_symmetry_space_group_name_H-M 'P 1'
_symmetry_Int_Tables_number 1
_symmetry_space_group_name_Hall 'P 1'
_cell_length_a 3.932
_cell_length_b 3.932
_cell_length_c 3.861
_cell_angle_alpha 90.00
_cell_angle_beta 90.00
_cell_angle_gamma 90.00
loop_
_atom_site_label
_atom_site_type_symbol
_atom_site_fract_x
_atom_site_fract_y
_atom_site_fract_z
Ru1 Ru 0.000 0.500 0.000
Ru2 Ru 0.500 0.000 0.000
Rh1 Rh 0.000 0.000 0.500
W1 W 0.500 0.500 0.500
H1 H 0.000 0.000 0.000
```


Entry 9:
Density functional theory data (GGA-PBE) for Ca2TlHg2 after structural relaxation.

Values from the calculation:
Polymorph energy (0 for the lowest one)   145 meV/atom

```
data_Ca2TlHg2
_chemical_formula_sum 'Ca2 Tl1 Hg2'
_symmetry_space_group_name_H-M 'P 1'
_symmetry_Int_Tables_number 1
_symmetry_space_group_name_Hall 'P 1'
_cell_length_a 4.226
_cell_length_b 4.226
_cell_length_c 9.097
_cell_angle_alpha 76.57
_cell_angle_beta 76.57
_cell_angle_gamma 90.00
loop_
_atom_site_label
_atom_site_type_symbol
_atom_site_fract_x
_atom_site_fract_y
_atom_site_fract_z
Tl1 Tl 0.000 0.000 0.000
Ca1 Ca 0.396 0.396 0.208
Ca2 Ca 0.604 0.604 0.792
Hg1 Hg 0.750 0.250 0.500
Hg2 Hg 0.250 0.750 0.500
```


Entry 10:
Density functional theory data (GGA-PBE) for Ba2Sn2Hg4Pb after structural relaxation.

```
data_Ba2Sn2Hg4Pb
_chemical_formula_sum 'Ba2 Sn2 Hg4 Pb1'
_symmetry_space_group_name_H-M 'P 1'
_symmetry_Int_Tables_number 1
_symmetry_space_group_name_Hall 'P 1'
_cell_length_a 7.452
_cell_length_b 7.452
_cell_length_c 7.452
_cell_angle_alpha 90.77
_cell_angle_beta 119.55
_cell_angle_gamma 119.55
loop_
_atom_site_label
_atom_site_type_symbol
_atom_site_fract_x
_atom_site_fract_y
_atom_site_fract_z
Ba1 Ba 0.500 0.750 0.250
Ba2 Ba 0.500 0.250 0.750
Sn1 Sn 0.000 0.697 0.697
Sn2 Sn 0.000 0.303 0.303
Hg1 Hg 0.000 0.714 0.286
Hg2 Hg 0.428 0.714 0.714
Hg3 Hg 0.000 0.286 0.714
Hg4 Hg 0.572 0.286 0.286
Pb1 Pb 0.000 0.000 0.000
```


Entry 11:
Density functional theory data (GGA-PBE) for RbScSb2 after structural relaxation.

Values from the calculation:
Energy relative to the elements, uncorrected   -0.1412 eV per atom
Polymorph energy (0 for the lowest one)   373 meV/atom

```
data_RbScSb2
_chemical_formula_sum 'Rb1 Sc1 Sb2'
_symmetry_space_group_name_H-M 'P 1'
_symmetry_Int_Tables_number 1
_symmetry_space_group_name_Hall 'P 1'
_cell_length_a 5.499
_cell_length_b 5.499
_cell_length_c 5.499
_cell_angle_alpha 60.00
_cell_angle_beta 60.00
_cell_angle_gamma 60.00
loop_
_atom_site_label
_atom_site_type_symbol
_atom_site_fract_x
_atom_site_fract_y
_atom_site_fract_z
Sc1 Sc 0.000 0.000 0.000
Sb1 Sb 0.250 0.250 0.250
Sb2 Sb 0.750 0.750 0.750
Rb1 Rb 0.500 0.500 0.500
```


Entry 12:
Density functional theory data (GGA-PBE) for Tb2FeI after structural relaxation.

Values from the calculation:
Energy relative to the elements, uncorrected   -0.3220 eV per atom

```
data_Tb2FeI
_chemical_formula_sum 'Tb2 Fe1 I1'
_symmetry_space_group_name_H-M 'P 1'
_symmetry_Int_Tables_number 1
_symmetry_space_group_name_Hall 'P 1'
_cell_length_a 3.926
_cell_length_b 3.926
_cell_length_c 8.395
_cell_angle_alpha 76.48
_cell_angle_beta 76.48
_cell_angle_gamma 60.00
loop_
_atom_site_label
_atom_site_type_symbol
_atom_site_fract_x
_atom_site_fract_y
_atom_site_fract_z
I1 I 0.500 0.500 0.500
Tb1 Tb 0.271 0.271 0.188
Tb2 Tb 0.729 0.729 0.812
Fe1 Fe 0.000 0.000 0.000
```


E_tot? In order: -6.194; -4.029; -4.756; -5.314; -3.990; -1.814; -5.951; -8.535; -1.684; -2.214; -4.027; -5.140 eV per atom.